one) This record from Alexandria describes a geometry-optimized TlTe2PdN structure. The functional is PBE.

## Properties
Symmetry ... P4/mmm (123)
Volume ... 25.2 Å³ per atom
D(E_F) ... 4.5 states/eV per cell

```
TlTe2PdN
1.0
-3.926 2.192 3.714
-0.523 -5.228 2.532
2.719 0.871 2.360
Tl Te Pd N
1 2 1 1
direct
0.500 0.500 0.500
0.000 0.500 0.000
0.500 0.000 0.000
0.000 0.000 0.000
0.000 0.000 0.500
```


two) This record from Alexandria describes a geometry-optimized TlTe2PdN structure. The functional is PBE.

## Properties
Symmetry ... P4/mmm (123)
Volume ... 28.3 Å³ per atom
D(E_F) ... 4.9 states/eV per cell

```
TlTe2PdN
1.0
-2.376 -5.094 1.748
5.246 -1.757 2.009
-0.844 1.643 3.641
Tl Te Pd N
1 2 1 1
direct
0.000 0.000 0.000
0.000 0.500 0.000
0.500 0.000 0.000
0.500 0.500 0.500
0.000 0.000 0.500
```


Least stable = two)


one) This record from Alexandria describes a geometry-optimized Te2PdWN structure. The functional is PBE.

## Properties
Symmetry ... P4/mmm (123)
Volume ... 22.0 Å³ per atom
D(E_F) ... 4.8 states/eV per cell

```
Te2PdWN
1.0
5.397 0.000 0.000
0.000 5.397 0.000
0.000 0.000 3.782
Te Pd W N
2 1 1 1
direct
0.000 0.500 0.000
0.500 0.000 0.000
0.500 0.500 0.500
0.000 0.000 0.000
0.000 0.000 0.500
```


two) This record from Alexandria describes a geometry-optimized Te2PdWN structure. The functional is PBE.

## Properties
Symmetry ... P4/mmm (123)
Volume ... 21.6 Å³ per atom
D(E_F) ... 3.4 states/eV per cell

```
Te2PdWN
1.0
-4.340 3.239 0.365
-2.309 -2.626 -4.150
-1.553 -2.345 2.348
Te Pd W N
2 1 1 1
direct
0.000 0.500 0.000
0.500 0.000 0.000
0.000 0.000 0.000
0.500 0.500 0.500
0.000 0.000 0.500
```


Least stable = two)


one) This record from Alexandria describes a geometry-optimized YTePdN2 structure. The functional is PBE.

## Properties
Symmetry ... P4/mmm (123)
Volume ... 18.6 Å³ per atom
D(E_F) ... 2.9 states/eV per cell

```
YTePdN2
1.0
-3.143 -2.811 -0.244
2.727 -3.120 0.813
-0.889 0.551 5.100
Y Te Pd N
1 1 1 2
direct
0.500 0.500 0.500
0.000 0.000 0.500
0.000 0.000 0.000
0.000 0.500 0.000
0.500 0.000 0.000
```


two) This record from Alexandria describes a geometry-optimized YTePdN2 structure. The functional is PBE.

## Properties
Symmetry ... P4/mmm (123)
Volume ... 22.9 Å³ per atom
D(E_F) ... 7.6 states/eV per cell

```
YTePdN2
1.0
-2.320 1.638 3.134
-3.305 -2.337 -1.225
1.908 -4.734 3.885
Y Te Pd N
1 1 1 2
direct
0.000 0.000 0.000
0.000 0.000 0.500
0.500 0.500 0.500
0.000 0.500 0.000
0.500 0.000 0.000
```


Least stable = two)


one) This record from Alexandria describes a geometry-optimized YTe2PdN structure. The functional is PBE.

## Properties
Symmetry ... P4/mmm (123)
Volume ... 28.6 Å³ per atom
D(E_F) ... 4.5 states/eV per cell

```
YTe2PdN
1.0
-5.907 0.527 -0.811
-0.877 -0.799 5.867
0.272 3.944 0.578
Y Te Pd N
1 2 1 1
direct
0.000 0.000 0.000
0.000 0.500 0.000
0.500 0.000 0.000
0.500 0.500 0.500
0.000 0.000 0.500
```


two) This record from Alexandria describes a geometry-optimized YTe2PdN structure. The functional is PBE.

## Properties
Symmetry ... P4/mmm (123)
Volume ... 23.4 Å³ per atom
D(E_F) ... 2.8 states/eV per cell

```
YTe2PdN
1.0
5.465 0.000 0.000
0.000 5.465 0.000
0.000 0.000 3.925
Y Te Pd N
1 2 1 1
direct
0.500 0.500 0.500
0.000 0.500 0.000
0.500 0.000 0.000
0.000 0.000 0.000
0.000 0.000 0.500
```


Least stable = one)


one) This record from Alexandria describes a geometry-optimized ZnTePdN2 structure. The functional is PBE.

## Properties
Symmetry ... P4/mmm (123)
Volume ... 18.6 Å³ per atom
D(E_F) ... 3.7 states/eV per cell

```
ZnTePdN2
1.0
-2.232 -0.969 3.045
-1.004 -3.314 -1.790
4.766 -2.843 2.590
Zn Te Pd N
1 1 1 2
direct
0.000 0.000 0.000
0.000 0.000 0.500
0.500 0.500 0.500
0.000 0.500 0.000
0.500 0.000 0.000
```


two) This record from Alexandria describes a geometry-optimized ZnTePdN2 structure. The functional is PBE.

## Properties
Symmetry ... P4/mmm (123)
Volume ... 18.8 Å³ per atom
D(E_F) ... 3.3 states/eV per cell

```
ZnTePdN2
1.0
4.007 0.000 0.000
0.000 4.007 0.000
0.000 0.000 5.866
Zn Te Pd N
1 1 1 2
direct
0.500 0.500 0.500
0.000 0.000 0.500
0.000 0.000 0.000
0.000 0.500 0.000
0.500 0.000 0.000
```


Least stable = one)


one) This record from Alexandria describes a geometry-optimized Ti2Pd2N structure. The functional is PBE.

## Properties
Symmetry ... P4/mbm (127)
Volume ... 14.7 Å³ per atom
D(E_F) ... 9.9 states/eV per cell

```
Ti2Pd2N
1.0
-0.214 5.588 0.811
0.483 -0.791 5.574
4.570 0.228 -0.364
N Pd Ti
2 4 4
direct
0.000 0.000 0.000
0.500 0.500 0.000
0.327 0.827 0.000
0.827 0.673 0.000
0.673 0.173 0.000
0.173 0.327 0.000
0.163 0.663 0.500
0.663 0.837 0.500
0.837 0.337 0.500
0.337 0.163 0.500
```


two) This record from Alexandria describes a geometry-optimized Ti2Pd2N structure. The functional is PBE.

## Properties
Symmetry ... I4/mmm (139)
Volume ... 18.0 Å³ per atom
D(E_F) ... 3.9 states/eV per cell

```
Ti2Pd2N
1.0
-2.600 3.243 -0.846
-2.919 -1.664 2.591
-0.817 3.346 4.701
N Pd Ti
1 2 2
direct
0.000 0.000 0.000
0.378 0.378 0.245
0.622 0.622 0.755
0.750 0.250 0.500
0.250 0.750 0.500
```


Least stable = two)


one) This record from Alexandria describes a geometry-optimized Tl3PdN structure. The functional is PBE.

## Properties
Symmetry ... Pm-3m (221)
Volume ... 23.1 Å³ per atom
D(E_F) ... 1.9 states/eV per cell

```
Tl3PdN
1.0
4.870 0.000 0.000
0.000 4.870 0.000
0.000 0.000 4.870
Tl Pd N
3 1 1
direct
0.000 0.500 0.000
0.000 0.000 0.500
0.500 0.000 0.000
0.500 0.500 0.500
0.000 0.000 0.000
```


two) This record from Alexandria describes a geometry-optimized Tl3PdN structure. The functional is PBE.

## Properties
Symmetry ... Pm-3m (221)
Volume ... 30.5 Å³ per atom
D(E_F) ... 4.2 states/eV per cell

```
Tl3PdN
1.0
5.340 0.000 0.000
0.000 5.340 0.000
0.000 0.000 5.340
Tl Pd N
3 1 1
direct
0.000 0.500 0.000
0.000 0.000 0.500
0.500 0.000 0.000
0.000 0.000 0.000
0.500 0.500 0.500
```


Least stable = two)


one) This record from Alexandria describes a geometry-optimized TlPdN2 structure. The functional is PBE.

## Properties
Symmetry ... R-3m (166)
Volume ... 14.6 Å³ per atom
D(E_F) ... 1.8 states/eV per cell

```
TlPdN2
1.0
-1.479 -5.966 2.589
-0.602 -6.626 -0.470
1.668 -6.197 1.815
Tl Pd N
1 1 2
direct
0.000 0.000 0.000
0.500 0.500 0.500
0.883 0.883 0.883
0.117 0.117 0.117
```


two) This record from Alexandria describes a geometry-optimized TlPdN2 structure. The functional is PBE.

## Properties
Symmetry ... Fm-3m (225)
Volume ... 12.7 Å³ per atom
D(E_F) ... 2.1 states/eV per cell

```
TlPdN2
1.0
-2.171 -1.535 -3.195
-3.726 1.587 -0.934
-0.490 2.258 -3.455
Tl Pd N
1 1 2
direct
0.500 0.500 0.500
0.000 0.000 0.000
0.250 0.250 0.250
0.750 0.750 0.750
```


Least stable = two)